This record from the Alexandria database describes an optimized crystal structure of KRu2Se. The functional is PBE-GGA.

## Properties
The calculation puts the total DFT energy (no corrections) at -5.423 eV/atom. Its density of states at the Fermi level is 2.9 states/eV/cell.

a b c (Å): 2.8670 3.3592 8.3041
angles (deg): 90.00 90.00 90.00
Fractional positions:
K 0.0000 0.0000 0.0000
Ru 0.0000 0.0000 0.4856
Ru 0.5000 0.5000 0.3272
Se 0.5000 0.5000 0.6938